Material: AcErS3
Method: DFT, PBE
State: relaxed

```
20
Lattice="8.306 0.000 0.000 0.000 4.078 0.000 0.000 0.000 14.710" Properties=species:S:1:pos:R:3 pbc="T T T"
Ac 1.022 1.019 2.820
Ac 3.131 3.058 10.175
Ac 5.175 1.019 4.535
Ac 7.284 3.058 11.889
Er 1.528 3.058 6.674
Er 2.625 1.019 14.029
Er 5.681 3.058 0.681
Er 6.778 1.019 8.036
S 0.011 3.058 8.977
S 1.331 3.058 0.600
S 1.360 1.019 11.645
S 2.793 3.058 4.290
S 2.822 1.019 7.955
S 4.142 1.019 1.622
S 4.164 3.058 13.088
S 5.484 3.058 6.755
S 5.513 1.019 10.419
S 6.946 3.058 3.064
S 6.975 1.019 14.110
S 8.295 1.019 5.733
```

Results
Uncorrected energy: -6.35 eV/atom
E_form (uncorrected): -10.68 eV per formula unit

---

Material: AcEr2S5
Method: DFT, PBE
State: relaxed

```
16
Lattice="-3.699 3.699 6.458 3.699 -3.699 6.458 3.699 3.699 -6.458" Properties=species:S:1:pos:R:3 pbc="T T T"
Ac 0.000 0.000 3.229
Ac 0.000 0.000 9.687
Er 4.872 1.172 0.000
Er 1.172 2.527 0.000
Er 2.527 1.172 6.458
Er -1.172 2.527 6.458
S 0.000 0.000 0.000
S 2.585 1.114 -1.783
S 2.585 -1.114 4.675
S 2.585 1.114 1.783
S 2.585 -1.114 8.241
S 0.000 0.000 6.458
S 1.114 4.814 -1.783
S 1.114 2.585 4.675
S 1.114 4.814 1.783
S 1.114 2.585 8.241
```

Results
Uncorrected energy: -6.11 eV/atom
E_form (uncorrected): -14.99 eV per formula unit

---

Material: AcErS
Method: DFT, PBE
State: relaxed

```
6
Lattice="4.234 0.000 0.000 0.000 4.234 0.000 0.000 0.000 9.608" Properties=species:S:1:pos:R:3 pbc="T T T"
Ac 1.058 1.058 1.557
Ac 3.175 3.175 8.051
Er 1.058 3.175 4.804
Er 3.175 1.058 4.804
S 1.058 1.058 6.809
S 3.175 3.175 2.799
```

Results
Uncorrected energy: -5.23 eV/atom
E_form (uncorrected): -2.89 eV per formula unit

---

Material: AcErS
Method: DFT, PBE
State: relaxed

```
3
Lattice="3.951 0.000 0.000 -1.976 3.422 0.000 0.000 0.000 6.813" Properties=species:S:1:pos:R:3 pbc="T T T"
Ac 0.000 0.000 0.000
Er 0.000 2.281 3.311
S 1.976 1.141 4.804
```

Results
Uncorrected energy: -5.42 eV/atom
E_form (uncorrected): -3.47 eV per formula unit

---

Material: Ac4ErS5
Method: DFT, PBE
State: relaxed

```
10
Lattice="-4.714 4.714 3.001 4.714 -4.714 3.001 4.714 4.714 -3.001" Properties=species:S:1:pos:R:3 pbc="T T T"
Ac 2.852 0.897 0.000
Ac 3.817 -1.862 3.001
Ac 0.897 6.577 0.000
Ac 1.862 3.817 3.001
Er 0.000 0.000 3.001
S 0.000 0.000 0.000
S 5.629 2.071 0.000
S 2.071 3.800 0.000
S 2.643 0.915 3.001
S -0.915 2.643 3.001
```

Results
Uncorrected energy: -6.12 eV/atom
E_form (uncorrected): -19.54 eV per formula unit

---

Material: AcErS3
Method: DFT, PBE
State: relaxed

```
10
Lattice="4.130 0.000 0.000 0.000 6.726 0.000 0.000 0.000 8.912" Properties=species:S:1:pos:R:3 pbc="T T T"
Ac 1.033 1.681 1.333
Ac 3.098 5.044 7.579
Er 1.033 5.044 3.589
Er 3.098 1.681 5.323
S 1.033 3.449 5.852
S 1.033 5.044 0.726
S 1.033 6.639 5.852
S 3.098 0.086 3.061
S 3.098 1.681 8.186
S 3.098 3.277 3.061
```

Results
Uncorrected energy: -6.32 eV/atom
E_form (uncorrected): -10.54 eV per formula unit

---

Material: AcEr4S6
Method: DFT, PBE
State: relaxed

```
22
Lattice="1.964 -6.392 0.000 1.964 6.392 0.000 0.000 0.000 19.876" Properties=species:S:1:pos:R:3 pbc="T T T"
Ac 1.964 4.381 14.907
Ac 1.964 -4.381 4.969
Er 1.964 5.178 2.450
Er 1.964 5.178 7.488
Er 1.964 1.780 0.770
Er 1.964 1.780 9.168
Er 1.964 -1.780 10.708
Er 1.964 -1.780 19.106
Er 1.964 -5.178 12.388
Er 1.964 -5.178 17.426
S 0.000 0.000 0.000
S 0.000 0.000 9.938
S 1.964 4.203 4.969
S 1.964 2.993 11.703
S 1.964 2.993 18.110
S 1.964 0.537 3.193
S 1.964 0.537 6.745
S 1.964 -0.537 13.131
S 1.964 -0.537 16.683
S 1.964 -2.993 1.765
S 1.964 -2.993 8.173
S 1.964 -4.203 14.907
```

Results
Uncorrected energy: -6.34 eV/atom
E_form (uncorrected): -22.61 eV per formula unit

---

Material: AcErSbS
Method: DFT, PBE
State: relaxed

```
8
Lattice="4.994 0.000 0.000 0.000 4.994 0.000 0.000 0.000 10.250" Properties=species:S:1:pos:R:3 pbc="T T T"
Ac 1.248 1.248 1.503
Ac 3.745 3.745 8.747
Er 1.248 3.745 5.125
Er 3.745 1.248 5.125
Sb 1.248 1.248 6.905
Sb 3.745 3.745 3.345
S 1.248 3.745 0.000
S 3.745 1.248 0.000
```

Results
Uncorrected energy: -5.55 eV/atom
E_form (uncorrected): -5.30 eV per formula unit

---

Material: Ac2ErScS5
Method: DFT, PBE
State: relaxed

```
18
Lattice="2.033 -8.353 0.000 2.033 8.353 0.000 0.000 0.000 12.715" Properties=species:S:1:pos:R:3 pbc="T T T"
Ac 2.033 6.596 6.357
Ac 2.033 5.963 1.530
Ac 2.033 -5.963 7.887
Ac 2.033 -6.596 0.000
Er 2.033 4.876 10.512
Er 2.033 -4.876 4.155
Sc 2.033 0.479 3.453
Sc 2.033 -0.479 9.810
S 2.033 7.439 11.210
S 2.033 3.662 6.005
S 2.033 2.948 2.341
S 2.033 2.148 10.337
S 2.033 0.214 7.437
S 2.033 -0.214 1.080
S 2.033 -2.148 3.980
S 2.033 -2.948 8.698
S 2.033 -3.662 12.363
S 2.033 -7.439 4.853
```

Results
Uncorrected energy: -6.43 eV/atom
E_form (uncorrected): -18.08 eV per formula unit

---

Material: Ac2ErScS6
Method: DFT, PBE
State: relaxed

```
20
Lattice="6.823 0.000 0.000 0.000 7.401 0.000 -6.759 0.000 9.933" Properties=species:S:1:pos:R:3 pbc="T T T"
Ac -0.180 0.645 2.477
Ac -3.560 3.055 7.444
Ac 3.624 4.346 2.490
Ac 0.244 6.756 7.456
Er 3.411 0.000 0.000
Er 0.032 3.700 4.967
Sc -3.379 0.000 4.967
Sc 0.000 3.700 0.000
S -5.529 1.454 9.364
S -2.150 2.246 4.397
S -4.657 5.089 9.378
S -1.278 6.013 4.412
S -2.597 0.230 7.390
S 0.782 3.470 2.424
S -0.718 3.930 7.510
S 2.661 7.171 2.543
S 1.342 1.388 5.522
S 4.721 2.312 0.555
S 2.214 5.155 5.536
S 5.593 5.947 0.570
```

Results
Uncorrected energy: -6.52 eV/atom
E_form (uncorrected): -21.29 eV per formula unit

---

Material: AcErSe2S
Method: DFT, PBE
State: relaxed

```
10
Lattice="4.327 0.000 0.000 0.000 4.327 0.000 0.000 0.000 14.845" Properties=species:S:1:pos:R:3 pbc="T T T"
Ac 1.082 1.082 1.924
Ac 3.245 3.245 12.922
Er 1.082 1.082 8.936
Er 3.245 3.245 5.910
Se 1.082 1.082 6.042
Se 1.082 1.082 11.613
Se 3.245 3.245 3.232
Se 3.245 3.245 8.803
S 1.082 3.245 0.000
S 3.245 1.082 0.000
```

Results
Uncorrected energy: -5.73 eV/atom
E_form (uncorrected): -8.91 eV per formula unit

---

Material: AcSm2ErS4
Method: DFT, PBE
State: relaxed

```
8
Lattice="6.958 0.000 0.000 0.000 3.994 0.000 -2.297 0.000 6.793" Properties=species:S:1:pos:R:3 pbc="T T T"
Ac 0.000 0.000 0.000
Sm 2.331 0.000 3.397
Sm 3.479 1.997 0.000
Er -1.148 1.997 3.397
S 0.023 0.000 4.973
S 1.175 1.997 1.833
S 3.486 1.997 4.960
S 4.638 0.000 1.820
```

Results
Uncorrected energy: -6.29 eV/atom
E_form (uncorrected): -15.70 eV per formula unit

---

Please write out number 12 again, unchanged.
Material: AcSm2ErS4
Method: DFT, PBE
State: relaxed

```
8
Lattice="6.958 0.000 0.000 0.000 3.994 0.000 -2.297 0.000 6.793" Properties=species:S:1:pos:R:3 pbc="T T T"
Ac 0.000 0.000 0.000
Sm 2.331 0.000 3.397
Sm 3.479 1.997 0.000
Er -1.148 1.997 3.397
S 0.023 0.000 4.973
S 1.175 1.997 1.833
S 3.486 1.997 4.960
S 4.638 0.000 1.820
```

Results
Uncorrected energy: -6.29 eV/atom
E_form (uncorrected): -15.70 eV per formula unit